Material: DySc6Co2
Method: DFT, GGA-PBE
State: optimized geometry

Calculated values
The calculation puts the density of states at the Fermi level at 1.404 states/eV/atom. The electronic total energy is -6.403 eV per atom. The space-group type is Immm, No. 71. As for the energy of formation: -0.09 eV per atom.

Cell: 7.960 7.960 7.960 Å, 112.45 108.53 107.48°
Sites, in units of the cell vectors:
1 Dy 0.000 0.000 0.000
2 Dy 0.500 0.500 0.000
3 Sc 0.012 0.239 0.772
4 Sc 0.191 0.287 0.478
5 Sc 0.191 0.713 0.904
6 Sc 0.316 0.008 0.693
7 Sc 0.316 0.623 0.307
8 Sc 0.467 0.239 0.228
9 Sc 0.533 0.761 0.772
10 Sc 0.684 0.377 0.693
11 Sc 0.684 0.992 0.307
12 Sc 0.809 0.287 0.096
13 Sc 0.809 0.713 0.522
14 Sc 0.988 0.761 0.228
15 Co 0.118 0.618 0.500
16 Co 0.332 0.000 0.332
17 Co 0.668 0.000 0.668
18 Co 0.882 0.382 0.500

---

Material: Sm2MgBi3
Method: DFT, GGA-PBE
State: optimized geometry

Calculated values
The calculation puts the density of states at the Fermi level at 0.722 states/eV/atom. The electronic total energy is -4.330 eV per atom. The space-group type is C2/c, No. 15. As for the energy of formation: -0.55 eV per atom.

Cell: 7.768 7.768 9.042 Å, 106.90 106.90 49.05°
Sites, in units of the cell vectors:
1 Sm 0.169 0.170 0.085
2 Sm 0.170 0.169 0.585
3 Sm 0.830 0.831 0.415
4 Sm 0.831 0.830 0.915
5 Mg 0.472 0.528 0.750
6 Mg 0.528 0.472 0.250
7 Bi 0.017 0.983 0.250
8 Bi 0.340 0.341 0.421
9 Bi 0.341 0.340 0.921
10 Bi 0.659 0.660 0.079
11 Bi 0.660 0.659 0.579
12 Bi 0.983 0.017 0.750

---

Material: Zr3NiIr
Method: DFT, GGA-PBE
State: optimized geometry

Calculated values
The calculation puts the density of states at the Fermi level at 0.997 states/eV/atom. The electronic total energy is -8.526 eV per atom. The energy above the most stable polymorph in this dataset is 0 meV/atom. The space-group type is C2/m, No. 12. As for the energy of formation: -0.47 eV per atom.

Cell: 5.449 5.449 8.036 Å, 111.64 111.64 63.83°
Sites, in units of the cell vectors:
1 Zr 0.000 0.000 0.225
2 Zr 0.000 0.000 0.775
3 Zr 0.296 0.296 0.642
4 Zr 0.307 0.307 0.162
5 Zr 0.693 0.693 0.838
6 Zr 0.704 0.704 0.358
7 Ni 0.302 0.698 0.000
8 Ni 0.698 0.302 0.000
9 Ir 0.261 0.739 0.500
10 Ir 0.739 0.261 0.500

---

Among the records above, which one has the lowest electronic total energy?
Zr3NiIr